A plane-wave DFT calculation with GGA-PBE was carried out for crystalline Dy2Er3ScSe6 at its relaxed geometry.

Properties
Calculated total energy (eV per atom): -5.87
Energy relative to the elements, uncorrected (eV per atom): -1.690

Cell: 4.018 8.078 8.990 Å, 102.98 102.91 90.00°
Fractional positions:
1 Se 0.338 0.921 0.676
2 Er 0.830 0.165 0.660
3 Se 0.335 0.415 0.669
4 Se 0.998 0.242 0.996
5 Se 0.002 0.758 0.004
6 Dy 0.167 0.333 0.334
7 Se 0.665 0.585 0.331
8 Se 0.662 0.079 0.324
9 Dy 0.833 0.667 0.666
10 Sc 0.500 0.000 0.000
11 Er 0.500 0.500 0.000
12 Er 0.170 0.835 0.340



A plane-wave DFT calculation with GGA-PBE was carried out for crystalline PmGeHPt2 at its relaxed geometry.

Properties
Calculated total energy (eV per atom): -5.79

Cell: 4.019 5.876 7.313 Å, 90.00 90.00 110.00°
Fractional positions:
1 Ge 0.729 0.458 0.750
2 Pt 0.157 0.315 0.947
3 Pm 0.446 0.893 0.750
4 Pt 0.157 0.315 0.553
5 Pm 0.554 0.107 0.250
6 Pt 0.843 0.685 0.053
7 H 0.000 0.000 0.500
8 H 0.000 0.000 0.000
9 Ge 0.271 0.542 0.250
10 Pt 0.843 0.685 0.447



A plane-wave DFT calculation with GGA-PBE was carried out for crystalline LaV2Pt at its relaxed geometry.

Properties
Energy of formation from the pure elements (eV/atom): 0.11
Calculated total energy (eV per atom): -7.20
Energy relative to the lowest polymorph listed for this composition (meV per atom): 0

Cell: 4.584 4.584 4.584 Å, 60.00 60.00 60.00°
Fractional positions:
1 Pt 0.500 0.500 0.500
2 V 0.250 0.250 0.250
3 V 0.750 0.750 0.750
4 La 0.000 0.000 0.000



A plane-wave DFT calculation with GGA-PBE was carried out for crystalline ZrSe7 at its relaxed geometry.

Properties
Calculated total energy (eV per atom): -3.83
Energy relative to the elements, uncorrected (eV per atom): 0.288

Cell: 6.147 6.147 6.147 Å, 60.00 60.00 60.00°
Fractional positions:
1 Se 0.000 0.500 0.000
2 Se 0.500 0.000 0.500
3 Se 0.000 0.000 0.500
4 Se 0.000 0.500 0.500
5 Se 0.500 0.500 0.500
6 Se 0.500 0.500 0.000
7 Se 0.500 0.000 0.000
8 Zr 0.000 0.000 0.000



A plane-wave DFT calculation with GGA-PBE was carried out for crystalline Ba2TlOs at its relaxed geometry.

Properties
Energy of formation from the pure elements (eV/atom): 0.39
Calculated total energy (eV per atom): -3.97
Energy relative to the lowest polymorph listed for this composition (meV per atom): 79

Cell: 11.423 11.423 8.511 Å, 47.85 47.85 90.00°
Fractional positions:
1 Tl 0.000 0.000 0.000
2 Os 0.500 0.500 0.000
3 Ba 0.875 0.706 0.750
4 Ba 0.294 0.625 0.250
5 Ba 0.456 0.125 0.250
6 Tl 0.750 0.250 0.500
7 Ba 0.375 0.544 0.750
8 Os 0.250 0.750 0.500



A plane-wave DFT calculation with GGA-PBE was carried out for crystalline TlBPd3 at its relaxed geometry.

Properties
Energy of formation from the pure elements (eV/atom): 1.78
Calculated total energy (eV per atom): -3.15
Energy relative to the lowest polymorph listed for this composition (meV per atom): 1932

Cell: 5.081 5.081 5.081 Å, 90.00 90.00 90.00°
Fractional positions:
1 Tl 0.000 0.000 0.000
2 B 0.500 0.500 0.500
3 Pd 0.500 0.000 0.000
4 Pd 0.000 0.500 0.000
5 Pd 0.000 0.000 0.500



A plane-wave DFT calculation with GGA-PBE was carried out for crystalline La4SiI2N at its relaxed geometry.

Properties
Calculated total energy (eV per atom): -5.68
Energy relative to the elements, uncorrected (eV per atom): -1.112

Cell: 4.135 7.163 8.334 Å, 107.04 90.00 90.00°
Fractional positions:
1 La 0.500 0.734 0.816
2 I 0.000 0.500 0.500
3 La 0.000 0.298 0.822
4 La 0.000 0.702 0.178
5 I 0.500 0.000 0.500
6 N 0.500 0.500 0.000
7 La 0.500 0.266 0.184
8 Si 0.000 0.000 0.000



Record-wise density of states at the Fermi level values, in states/eV/cell: 5.9 3.1 5.6 9.9 9.8 7.0 3.1
Record-wise volume values, in A^3/atom: 23.1 16.2 17.0 20.5 43.8 26.2 29.5